{
  "formula": "ZnFe6",
  "functional": "PBE",
  "state": "optimized geometry",
  "lattice_angstrom": [[-2.973, 2.973, 2.973], [2.973, -2.973, 2.973], [2.973, 2.973, -2.973]],
  "species": ["Zn", "Fe", "Fe", "Fe", "Fe", "Fe", "Fe"],
  "frac_coords": [[0.000, 0.000, 0.000], [0.250, 0.500, 0.750], [0.250, 0.750, 0.500], [0.500, 0.250, 0.750], [0.500, 0.750, 0.250], [0.750, 0.250, 0.500], [0.750, 0.500, 0.250]],
  "total_energy_ev_per_atom": -6.304,
  "formation_enthalpy_0k_kj_per_mol_atoms": 109.2,
  "mass_density_g_cm3": 6.33
}